No. 1
Compound: Y4ScPd15
Source: the Alexandria database
Functional: GGA-PBE
Structure: optimized geometry

Values from the calculation:
Space group: P4/mmm
M_tot in μB/atom: 0.00
Formation energy from the elements in meV/atom: -846

Cell: 4.106 4.106 20.586 Å, 90.00 90.00 90.00°
Fractional coordinates of all 20 atoms:
Y: 0.000 0.000 0.196
Pd: 0.500 0.000 0.703
Pd: 0.500 0.000 0.906
Pd: 0.500 0.500 0.602
Pd: 0.500 0.000 0.500
Sc: 0.000 0.000 0.000
Pd: 0.500 0.000 0.297
Y: 0.000 0.000 0.804
Y: 0.000 0.000 0.601
Pd: 0.000 0.500 0.094
Y: 0.000 0.000 0.399
Pd: 0.500 0.500 0.000
Pd: 0.000 0.500 0.906
Pd: 0.000 0.500 0.297
Pd: 0.500 0.000 0.094
Pd: 0.500 0.500 0.398
Pd: 0.500 0.500 0.196
Pd: 0.000 0.500 0.703
Pd: 0.500 0.500 0.804
Pd: 0.000 0.500 0.500

=====

No. 2
Compound: YScPd
Source: the Alexandria database
Functional: GGA-PBE
Structure: optimized geometry

Values from the calculation:
Space group: Amm2
M_tot in μB/atom: 0.00
Energy above the lowest structure with this stoichiometry in meV/atom: 0
Formation energy from the elements in meV/atom: -631

Cell: 7.119 9.526 8.556 Å, 123.83 114.58 90.00°
Fractional coordinates of all 18 atoms:
Pd: 0.087 0.334 0.667
Sc: 0.494 0.870 0.741
Pd: 0.420 0.666 0.333
Y: 0.345 0.750 0.000
Pd: 0.087 0.834 0.667
Pd: 0.753 0.750 0.000
Y: 0.161 0.954 0.408
Pd: 0.420 0.166 0.333
Sc: 0.494 0.370 0.741
Y: 0.753 0.046 0.592
Sc: 0.012 0.500 0.000
Y: 0.161 0.454 0.408
Y: 0.345 0.250 0.000
Sc: 0.754 0.630 0.259
Sc: 0.754 0.130 0.259
Y: 0.753 0.546 0.592
Sc: 0.012 0.000 0.000
Pd: 0.753 0.250 0.000

=====

No. 3
Compound: YSc2Pd2
Source: the Alexandria database
Functional: GGA-PBE
Structure: optimized geometry

Values from the calculation:
Space group: P4/mbm
M_tot in μB/atom: 0.00
Energy above the lowest structure with this stoichiometry in meV/atom: 80
Formation energy from the elements in meV/atom: -594

Cell: 8.151 8.151 3.069 Å, 90.00 90.00 90.00°
Fractional coordinates of all 10 atoms:
Sc: 0.636 0.136 0.000
Sc: 0.136 0.364 0.000
Sc: 0.364 0.864 0.000
Y: 0.500 0.500 0.000
Pd: 0.339 0.161 0.500
Sc: 0.864 0.636 0.000
Pd: 0.839 0.339 0.500
Pd: 0.661 0.839 0.500
Pd: 0.161 0.661 0.500
Y: 0.000 0.000 0.000

=====

No. 4
Compound: YScPd4
Source: the Alexandria database
Functional: GGA-PBE
Structure: optimized geometry

Values from the calculation:
Space group: P4/mmm
M_tot in μB/atom: 0.00
Energy above the lowest structure with this stoichiometry in meV/atom: 192
Formation energy from the elements in meV/atom: -579

Cell: 3.935 3.937 8.048 Å, 89.99 90.00 90.00°
Fractional coordinates of all 6 atoms:
Y: 0.501 0.497 0.998
Sc: 0.001 0.997 0.498
Pd: 0.001 0.497 0.264
Pd: 0.501 0.997 0.263
Pd: 0.501 0.997 0.733
Pd: 0.001 0.497 0.733

=====

No. 5
Compound: YSc2Pd
Source: the Alexandria database
Functional: GGA-PBE
Structure: optimized geometry

Values from the calculation:
Space group: R3m
M_tot in μB/atom: 0.11
Energy above the lowest structure with this stoichiometry in meV/atom: 198
Formation energy from the elements in meV/atom: -255

Cell: 3.497 3.497 9.474 Å, 79.37 79.37 60.00°
Site moments in Bohr magnetons follow the coordinates.
Fractional coordinates of all 4 atoms:
Y: 0.502 0.502 0.495  0.13
Pd: 0.666 0.666 0.002  0.00
Sc: 0.267 0.267 0.199  0.05
Sc: 0.066 0.066 0.803  0.05

=====

No. 6
Compound: YScPd6
Source: the Alexandria database
Functional: GGA-PBE
Structure: optimized geometry

Values from the calculation:
Space group: P4/mmm
M_tot in μB/atom: 0.00
Formation energy from the elements in meV/atom: -835

Cell: 4.081 4.081 8.109 Å, 90.00 90.00 90.00°
Fractional coordinates of all 8 atoms:
Pd: 0.500 0.000 0.260
Pd: 0.500 0.500 0.500
Y: 0.000 0.000 0.000
Pd: 0.500 0.500 0.000
Pd: 0.000 0.500 0.260
Pd: 0.500 0.000 0.740
Sc: 0.000 0.000 0.500
Pd: 0.000 0.500 0.740

=====

No. 7
Compound: YSc2Pd
Source: the Alexandria database
Functional: GGA-PBE
Structure: optimized geometry

Values from the calculation:
Space group: Fm-3m
M_tot in μB/atom: 0.33
Energy above the lowest structure with this stoichiometry in meV/atom: 319
Formation energy from the elements in meV/atom: -133

Cell: 4.984 4.984 4.984 Å, 60.00 60.00 60.00°
Site moments in Bohr magnetons follow the coordinates.
Fractional coordinates of all 4 atoms:
Sc: 0.250 0.250 0.250  0.28
Y: 0.000 0.000 0.000  0.33
Sc: 0.750 0.750 0.750  0.28
Pd: 0.500 0.500 0.500  0.04

=====

No. 8
Compound: YSc2Pd4
Source: the Alexandria database
Functional: GGA-PBE
Structure: optimized geometry

Values from the calculation:
Space group: I4/mmm
M_tot in μB/atom: 0.00
Formation energy from the elements in meV/atom: -608

Cell: 5.720 5.720 5.720 Å, 116.59 106.04 106.04°
Fractional coordinates of all 7 atoms:
Y: 0.000 0.000 0.000
Pd: 0.000 0.000 0.500
Sc: 0.500 0.000 0.500
Pd: 0.500 0.500 0.500
Pd: 0.000 0.500 0.000
Pd: 0.500 0.000 0.000
Sc: 0.500 0.500 0.000

=====

No. 9
Compound: YScPd
Source: the Alexandria database
Functional: GGA-PBE
Structure: optimized geometry

Values from the calculation:
Space group: F-43m
M_tot in μB/atom: 0.00
Energy above the lowest structure with this stoichiometry in meV/atom: 189
Formation energy from the elements in meV/atom: -442

Cell: 4.751 4.751 4.751 Å, 60.00 60.00 60.00°
Fractional coordinates of all 3 atoms:
Pd: 0.250 0.250 0.250
Y: 0.000 0.000 0.000
Sc: 0.500 0.500 0.500

=====

No. 10
Compound: YScPd3
Source: the Alexandria database
Functional: GGA-PBE
Structure: optimized geometry

Values from the calculation:
Space group: Pnma
M_tot in μB/atom: 0.00
Energy above the lowest structure with this stoichiometry in meV/atom: 0
Formation energy from the elements in meV/atom: -709

Cell: 7.731 6.973 7.663 Å, 90.00 90.00 90.00°
Fractional coordinates of all 20 atoms:
Y: 0.093 0.014 0.250
Pd: 0.249 0.146 0.750
Y: 0.907 0.986 0.750
Sc: 0.000 0.500 0.500
Pd: 0.706 0.698 0.929
Y: 0.593 0.486 0.250
Pd: 0.794 0.198 0.071
Y: 0.407 0.514 0.750
Pd: 0.794 0.198 0.429
Pd: 0.251 0.646 0.250
Pd: 0.294 0.302 0.429
Pd: 0.206 0.802 0.571
Sc: 0.500 0.000 0.500
Pd: 0.751 0.854 0.250
Sc: 0.000 0.500 0.000
Sc: 0.500 0.000 0.000
Pd: 0.294 0.302 0.071
Pd: 0.206 0.802 0.929
Pd: 0.706 0.698 0.571
Pd: 0.749 0.354 0.750

=====

No. 11
Compound: Y2ScPd4
Source: the Alexandria database
Functional: GGA-PBE
Structure: optimized geometry

Values from the calculation:
Space group: C2/m
M_tot in μB/atom: 0.00
Formation energy from the elements in meV/atom: -529

Cell: 5.057 5.057 7.896 Å, 86.97 116.76 112.30°
Fractional coordinates of all 7 atoms:
Pd: 0.096 0.240 0.335
Y: 0.687 0.590 0.278
Sc: 0.000 0.000 0.000
Pd: 0.000 0.500 0.000
Y: 0.313 0.410 0.722
Pd: 0.904 0.760 0.665
Pd: 0.500 0.000 0.000

=====

No. 12
Compound: Y2ScZn2Pd5
Source: the Alexandria database
Functional: GGA-PBE
Structure: optimized geometry

Values from the calculation:
Space group: P4/mbm
M_tot in μB/atom: 0.00
Formation energy from the elements in meV/atom: -776

Cell: 3.818 9.779 9.779 Å, 90.00 90.00 90.00°
Fractional coordinates of all 20 atoms:
Y: 0.000 0.175 0.325
Y: 0.000 0.675 0.175
Pd: 0.500 0.567 0.706
Zn: 0.000 0.621 0.879
Y: 0.000 0.825 0.675
Zn: 0.000 0.379 0.121
Pd: 0.500 0.294 0.567
Pd: 0.500 0.706 0.433
Pd: 0.500 0.794 0.933
Pd: 0.500 0.067 0.794
Sc: 0.000 0.500 0.500
Pd: 0.500 0.933 0.206
Y: 0.000 0.325 0.825
Pd: 0.500 0.433 0.294
Pd: 0.500 0.206 0.067
Sc: 0.000 0.000 0.000
Zn: 0.000 0.879 0.379
Zn: 0.000 0.121 0.621
Pd: 0.500 0.500 0.000
Pd: 0.500 0.000 0.500